No. 1
First-principles (PBE with a Hubbard U) data for a geometry-optimized Mo5Pb3O12 structure, as listed in the Alexandria database.

Cell lengths 11.7338, 11.7338, 11.7338 Å; angles 109.47, 109.47, 109.47 degrees
Last column: magnetic moment on the atom in μB.
Atoms (fractional coordinates):
Pb1 0.7500 0.3750 0.1250  0.02
Pb2 0.8750 0.7500 0.1250  0.02
Pb3 0.3750 0.7500 0.6250  0.02
Pb4 0.2500 0.1250 0.3750  0.02
Pb5 0.8750 0.1250 0.2500  0.02
Pb6 0.3750 0.6250 0.2500  0.02
Pb7 0.6250 0.3750 0.7500  0.02
Pb8 0.1250 0.8750 0.7500  0.02
Pb9 0.7500 0.8750 0.6250  0.02
Pb10 0.6250 0.2500 0.3750  0.02
Pb11 0.1250 0.2500 0.8750  0.02
Pb12 0.2500 0.6250 0.8750  0.02
Mo1 0.1250 0.3750 0.2500  1.89
Mo2 0.0000 0.5000 0.0000  2.75
Mo3 0.0000 0.0000 0.0000  2.75
Mo4 0.3750 0.2500 0.1250  1.89
Mo5 0.5000 0.0000 0.5000  2.75
Mo6 0.5000 0.5000 0.0000  2.75
Mo7 0.1250 0.7500 0.3750  1.89
Mo8 0.7500 0.1250 0.8750  1.89
Mo9 0.7500 0.6250 0.3750  1.89
Mo10 0.3750 0.1250 0.7500  1.89
Mo11 0.6250 0.8750 0.2500  1.89
Mo12 0.5000 0.5000 0.5000  2.75
Mo13 0.5000 0.0000 0.0000  2.75
Mo14 0.0000 0.0000 0.5000  2.75
Mo15 0.2500 0.3750 0.6250  1.89
Mo16 0.2500 0.8750 0.1250  1.89
Mo17 0.0000 0.5000 0.5000  2.75
Mo18 0.8750 0.2500 0.6250  1.89
Mo19 0.6250 0.7500 0.8750  1.89
Mo20 0.8750 0.6250 0.7500  1.89
O1 0.6978 0.1183 0.0164  0.02
O2 0.3185 0.5164 0.3980  0.02
O3 0.9836 0.3817 0.3022  0.02
O4 0.5164 0.1978 0.1183  0.02
O5 0.5795 0.6978 0.6815  0.02
O6 0.9836 0.6020 0.1815  0.02
O7 0.3185 0.8022 0.4205  0.02
O8 0.1020 0.9205 0.1183  0.02
O9 0.6020 0.9836 0.6815  0.02
O10 0.6978 0.5795 0.1815  0.02
O11 0.8022 0.4836 0.3817  0.02
O12 0.8185 0.8980 0.0164  0.02
O13 0.1183 0.6978 0.5164  0.02
O14 0.3817 0.3980 0.0795  0.02
O15 0.0795 0.8980 0.3817  0.02
O16 0.4205 0.1183 0.6020  0.02
O17 0.0795 0.1815 0.1978  0.02
O18 0.4836 0.6815 0.1020  0.02
O19 0.8185 0.9205 0.3022  0.02
O20 0.1183 0.4205 0.1020  0.02
O21 0.3817 0.9836 0.8022  0.02
O22 0.6020 0.6183 0.4205  0.02
O23 0.8980 0.8185 0.5164  0.02
O24 0.8022 0.3185 0.9205  0.02
O25 0.3980 0.3817 0.5795  0.02
O26 0.1020 0.1815 0.4836  0.02
O27 0.1978 0.6815 0.0795  0.02
O28 0.1815 0.0795 0.6978  0.02
O29 0.6183 0.0164 0.1978  0.02
O30 0.8817 0.5795 0.8980  0.02
O31 0.5164 0.3185 0.8980  0.02
O32 0.5795 0.8817 0.3980  0.02
O33 0.9205 0.8185 0.8022  0.02
O34 0.9205 0.1020 0.6183  0.02
O35 0.8817 0.3022 0.4836  0.02
O36 0.1815 0.1020 0.9836  0.02
O37 0.6183 0.6020 0.9205  0.02
O38 0.3980 0.0164 0.3185  0.02
O39 0.3022 0.4205 0.8185  0.02
O40 0.1978 0.5164 0.6183  0.02
O41 0.8980 0.0795 0.8817  0.02
O42 0.6815 0.1978 0.5795  0.02
O43 0.4836 0.8022 0.8817  0.02
O44 0.0164 0.3980 0.8185  0.02
O45 0.4205 0.3022 0.3185  0.02
O46 0.0164 0.6183 0.6978  0.02
O47 0.6815 0.4836 0.6020  0.02
O48 0.3022 0.8817 0.9836  0.02

Results
The calculation puts the energy at -6.6922 eV/atom. The theoretical density is 6.9 g/cm3.

No. 2
First-principles (PBE with a Hubbard U) data for a geometry-optimized Mo2PdPbO8 structure, as listed in the Alexandria database.

Cell lengths 5.9414, 5.9414, 6.8560 Å; angles 90.00, 90.00, 120.00 degrees
Last column: magnetic moment on the atom in μB.
Atoms (fractional coordinates):
Mo1 0.6667 0.3333 0.2201  0.12
Mo2 0.3333 0.6667 0.7799  0.12
Pd1 0.0000 0.0000 0.5000  1.32
Pb1 0.0000 0.0000 0.0000  0.00
O1 0.3333 0.6667 0.0357  0.00
O2 0.3272 0.1637 0.2940  0.07
O3 0.8363 0.1635 0.2940  0.07
O4 0.6667 0.3333 0.9643  0.00
O5 0.1637 0.8365 0.7060  0.07
O6 0.6728 0.8363 0.7060  0.07
O7 0.1635 0.3272 0.7060  0.07
O8 0.8365 0.6728 0.2940  0.07

Results
The calculation puts the energy at -6.4688 eV/atom. The theoretical density is 5.0 g/cm3.

No. 3
First-principles (PBE with a Hubbard U) data for a geometry-optimized Mo2PtPbO structure, as listed in the Alexandria database.

Cell lengths 5.5520, 3.7407, 5.5520 Å; angles 90.00, 90.00, 90.00 degrees
Last column: magnetic moment on the atom in μB.
Atoms (fractional coordinates):
Pb1 0.5000 0.5000 0.5000  -0.24
Mo1 0.0000 0.0000 0.5000  3.63
Mo2 0.5000 0.0000 0.0000  3.76
O1 0.0000 0.5000 0.0000  -0.17
Pt1 0.0000 0.0000 0.0000  -0.21

Results
The calculation puts the energy at -5.0123 eV/atom. The theoretical density is 8.8 g/cm3.

No. 4
First-principles (PBE with a Hubbard U) data for a geometry-optimized PuMoPb2O8 structure, as listed in the Alexandria database.

Cell lengths 5.3628, 5.3501, 6.7106 Å; angles 90.00, 90.00, 91.15 degrees
Last column: magnetic moment on the atom in μB.
Atoms (fractional coordinates):
Pu1 0.0000 0.0000 0.0000  2.46
Mo1 0.0000 0.0000 0.5000  0.05
Pb1 0.5000 0.5000 0.7375  -0.01
Pb2 0.5000 0.5000 0.2625  -0.01
O1 0.1675 0.8302 0.2742  -0.05
O2 0.7498 0.7530 0.0000  -0.11
O3 0.8325 0.1698 0.2742  -0.05
O4 0.8325 0.1698 0.7258  -0.05
O5 0.2502 0.2470 0.0000  -0.11
O6 0.1675 0.8302 0.7258  -0.05
O7 0.7420 0.7439 0.5000  -0.02
O8 0.2580 0.2561 0.5000  -0.02

Results
The calculation puts the energy at -7.3947 eV/atom. The theoretical density is 7.6 g/cm3.

No. 5
First-principles (PBE with a Hubbard U) data for a geometry-optimized RbMoPb2O6 structure, as listed in the Alexandria database.

Cell lengths 5.7647, 6.5797, 8.7709 Å; angles 90.00, 89.97, 90.00 degrees
Atoms (fractional coordinates):
Rb1 0.5000 0.0000 0.0000
Rb2 0.0000 0.5000 0.5000
Mo1 0.5000 0.0000 0.5000
Mo2 0.0000 0.5000 0.0000
Pb1 0.0000 0.9988 0.2845
Pb2 0.5000 0.5012 0.7845
Pb3 0.0000 0.0012 0.7155
Pb4 0.5000 0.4988 0.2155
O1 0.2958 0.6426 0.0010
O2 0.7958 0.8574 0.5010
O3 0.7042 0.3574 0.9990
O4 0.2042 0.1426 0.4990
O5 0.3687 0.8209 0.3415
O6 0.8687 0.6791 0.8415
O7 0.6313 0.1791 0.6585
O8 0.1313 0.3209 0.1585
O9 0.8685 0.6751 0.1613
O10 0.3685 0.8249 0.6613
O11 0.1315 0.3249 0.8387
O12 0.6315 0.1751 0.3387

Results
The calculation puts the energy at -5.8578 eV/atom. The theoretical density is 6.9 g/cm3.

No. 6
First-principles (PBE with a Hubbard U) data for a geometry-optimized RbMoPbO5 structure, as listed in the Alexandria database.

Cell lengths 6.6318, 6.6318, 8.1923 Å; angles 103.77, 103.77, 106.33 degrees
Atoms (fractional coordinates):
Rb1 0.3264 0.6736 0.2500
Rb2 0.6736 0.3264 0.7500
Mo1 0.6843 0.3157 0.2500
Mo2 0.3157 0.6843 0.7500
Pb1 0.0000 0.0000 0.5000
Pb2 0.0000 0.0000 0.0000
O1 0.0553 0.9447 0.2500
O2 0.9447 0.0553 0.7500
O3 0.8740 0.3118 0.1238
O4 0.1260 0.6882 0.8762
O5 0.6882 0.1260 0.3762
O6 0.3118 0.8740 0.6238
O7 0.7579 0.5905 0.4006
O8 0.2421 0.4095 0.5994
O9 0.4095 0.2421 0.0994
O10 0.5905 0.7579 0.9006

Results
The calculation puts the energy at -6.0908 eV/atom. The theoretical density is 4.9 g/cm3.

No. 7
First-principles (PBE with a Hubbard U) data for a geometry-optimized Rb2Mo2PbO7 structure, as listed in the Alexandria database.

Cell lengths 6.5234, 6.5234, 8.8546 Å; angles 68.39, 68.39, 60.00 degrees
Last column: magnetic moment on the atom in μB.
Atoms (fractional coordinates):
Rb1 0.7680 0.7680 0.6960  0.00
Rb2 0.2320 0.2320 0.3040  0.00
Mo1 0.9206 0.9206 0.2381  0.99
Mo2 0.0794 0.0794 0.7619  0.99
Pb1 0.5000 0.5000 0.5000  0.01
O1 0.1970 0.7885 0.3167  0.00
O2 0.6978 0.1970 0.3167  0.00
O3 0.7885 0.6978 0.3167  0.00
O4 0.3022 0.2115 0.6833  0.00
O5 0.8030 0.3022 0.6833  0.00
O6 0.0000 0.0000 0.0000  -0.11
O7 0.2115 0.8030 0.6833  0.00

Results
The calculation puts the energy at -6.0447 eV/atom. The theoretical density is 3.8 g/cm3.

No. 8
First-principles (PBE with a Hubbard U) data for a geometry-optimized RbMo2PbO8 structure, as listed in the Alexandria database.

Cell lengths 5.9597, 5.9597, 8.1983 Å; angles 90.00, 90.00, 120.00 degrees
Last column: magnetic moment on the atom in μB.
Atoms (fractional coordinates):
Rb1 0.0000 0.0000 0.0000  0.00
Mo1 0.6667 0.3333 0.2529  0.05
Mo2 0.3333 0.6667 0.7471  0.05
Pb1 0.0000 0.0000 0.5000  0.19
O1 0.3333 0.6667 0.9604  0.00
O2 0.3411 0.2409 0.3197  0.06
O3 0.7591 0.1002 0.3197  0.06
O4 0.6667 0.3333 0.0396  0.00
O5 0.2409 0.8998 0.6803  0.06
O6 0.6589 0.7591 0.6803  0.06
O7 0.1002 0.3411 0.6803  0.06
O8 0.8998 0.6589 0.3197  0.06

Results
The calculation puts the energy at -6.4026 eV/atom. The theoretical density is 4.0 g/cm3.

Volume readings, ordered: 1243.6 209.6 115.3 192.5 332.7 317.3 295.3 252.2 Å³/cell